## Na5Mn2P2C2O14 (GGA+U)

Data for a relaxed structure of Na5Mn2P2C2O14.

Properties
The space group is P-1. As for the total DFT energy (no corrections): -337.939 eV for the cell shown. The density of states at the Fermi level comes out at 0.0528 states/eV per atom.

Cell and atoms, written as POSCAR:
```
Na5Mn2P2C2O14
1.0
8.468 0.048 -0.034
-1.895 8.330 0.075
-0.135 -0.058 9.061
Na Mn P C O
10 4 4 4 28
direct
0.762 0.008 0.920
0.623 0.609 0.775
0.912 0.403 0.761
0.363 0.850 0.751
0.118 0.122 0.742
0.882 0.878 0.258
0.637 0.150 0.249
0.377 0.391 0.225
0.088 0.597 0.239
0.238 0.992 0.080
0.517 0.264 0.642
0.013 0.763 0.640
0.483 0.736 0.358
0.987 0.237 0.360
0.717 0.974 0.579
0.234 0.476 0.575
0.766 0.524 0.425
0.283 0.026 0.421
0.001 0.755 0.935
0.479 0.228 0.925
0.521 0.772 0.075
0.999 0.245 0.065
0.524 0.776 0.935
0.000 0.237 0.923
0.590 0.331 0.852
0.110 0.860 0.863
0.899 0.651 0.858
0.375 0.129 0.844
0.845 0.921 0.680
0.381 0.428 0.656
0.651 0.099 0.672
0.181 0.605 0.669
0.573 0.824 0.551
0.720 0.460 0.583
0.213 0.957 0.569
0.092 0.325 0.564
0.908 0.675 0.436
0.787 0.043 0.431
0.280 0.540 0.417
0.427 0.176 0.449
0.819 0.395 0.331
0.619 0.572 0.344
0.349 0.901 0.328
0.155 0.079 0.320
0.625 0.871 0.156
0.101 0.349 0.142
0.890 0.140 0.137
0.410 0.669 0.148
0.000 0.763 0.077
0.476 0.224 0.065
```